*A*
First-principles (PBE) data for a relaxed structure of CaSm3Co, as listed in Alexandria.

Calculated values
magnetic moment = 0.0 Bohr magnetons per cell
ρ = 5.69 g cm⁻³

a b c (Å): 5.435 5.435 5.435
angles (deg): 90.00 90.00 90.00
Space group Pm-3m (No. 221)
Asymmetric unit:
Ca: 0.000 0.000 0.000 (multiplicity 1)
Sm: 0.000 0.500 0.500 (multiplicity 3)
Co: 0.500 0.500 0.500 (multiplicity 1)

*B*
First-principles (PBE) data for a relaxed structure of CaSm3Co, as listed in Alexandria.

Calculated values
magnetic moment = 0.0 Bohr magnetons per cell
ρ = 5.98 g cm⁻³

a b c (Å): 14.401 3.740 11.359
angles (deg): 90.00 93.34 90.00
Space group C2/m (No. 12)
Asymmetric unit:
Ca: 0.163 0.000 0.093 (multiplicity 4)
Sm: 0.064 0.500 0.828 (multiplicity 4)
Sm: 0.067 0.000 0.385 (multiplicity 4)
Sm: 0.213 0.000 0.643 (multiplicity 4)
Co: 0.080 0.500 0.581 (multiplicity 4)

Stability summary - winner: *B*; margin: 18 meV/atom.

*A*
First-principles (PBE) data for a relaxed structure of Ca2CoSn, as listed in Alexandria.

Calculated values
magnetic moment = 0.0 Bohr magnetons per cell
ρ = 3.38 g cm⁻³

a b c (Å): 10.228 10.228 4.843
angles (deg): 90.00 90.00 90.00
Space group I-42d (No. 122)
Asymmetric unit:
Ca: 0.083 0.250 0.125 (multiplicity 8)
Co: 0.000 0.000 0.000 (multiplicity 4)
Sn: 0.000 0.000 0.500 (multiplicity 4)

*B*
First-principles (PBE) data for a relaxed structure of Ca2CoSn, as listed in Alexandria.

Calculated values
magnetic moment = 6.5 Bohr magnetons per cell
ρ = 4.30 g cm⁻³

a b c (Å): 7.358 7.358 7.358
angles (deg): 90.00 90.00 90.00
Space group Fm-3m (No. 225)
Asymmetric unit:
Ca: 0.250 0.250 0.250 (multiplicity 8)
Co: 0.000 0.000 0.000 (multiplicity 4)
Sn: 0.000 0.000 0.500 (multiplicity 4)

Stability summary - winner: *B*; margin: 39 meV/atom.

*A*
First-principles (PBE) data for a relaxed structure of Sr2CaCo, as listed in Alexandria.

Calculated values
magnetic moment = 1.0 Bohr magnetons per cell
ρ = 3.23 g cm⁻³

a b c (Å): 13.706 3.803 6.029
angles (deg): 90.00 116.08 90.00
Space group Cm (No. 8)
Asymmetric unit:
Sr: 0.000 0.000 0.000 (multiplicity 2)
Sr: 0.181 0.000 0.682 (multiplicity 2)
Ca: 0.356 0.000 0.356 (multiplicity 2)
Co: 0.187 0.500 0.181 (multiplicity 2)

*B*
First-principles (PBE) data for a relaxed structure of Sr2CaCo, as listed in Alexandria.

Calculated values
magnetic moment = 1.3 Bohr magnetons per cell
ρ = 3.28 g cm⁻³

a b c (Å): 5.277 5.277 4.980
angles (deg): 90.00 90.00 90.00
Space group P4/mmm (No. 123)
Asymmetric unit:
Sr: 0.000 0.500 0.000 (multiplicity 2)
Ca: 0.000 0.000 0.500 (multiplicity 1)
Co: 0.500 0.500 0.500 (multiplicity 1)

Stability summary - winner: *A*; margin: 196 meV/atom.

*A*
First-principles (PBE) data for a relaxed structure of Sr2CaCo, as listed in Alexandria.

Calculated values
magnetic moment = 0.0 Bohr magnetons per cell
ρ = 3.52 g cm⁻³

a b c (Å): 8.032 8.032 8.032
angles (deg): 90.00 90.00 90.00
Space group Fm-3m (No. 225)
Asymmetric unit:
Sr: 0.250 0.250 0.250 (multiplicity 8)
Ca: 0.000 0.000 0.000 (multiplicity 4)
Co: 0.000 0.000 0.500 (multiplicity 4)

*B*
First-principles (PBE) data for a relaxed structure of Sr2CaCo, as listed in Alexandria.

Calculated values
magnetic moment = 1.1 Bohr magnetons per cell
ρ = 3.23 g cm⁻³

a b c (Å): 3.789 3.789 9.835
angles (deg): 90.00 90.00 90.00
Space group P4/mmm (No. 123)
Asymmetric unit:
Sr: 0.000 0.000 0.178 (multiplicity 2)
Ca: 0.500 0.500 0.500 (multiplicity 1)
Co: 0.500 0.500 0.000 (multiplicity 1)

*C*
First-principles (PBE) data for a relaxed structure of Sr2CaCo, as listed in Alexandria.

Calculated values
magnetic moment = 3.0 Bohr magnetons per cell
ρ = 3.47 g cm⁻³

a b c (Å): 8.070 8.070 8.070
angles (deg): 90.00 90.00 90.00
Space group F-43m (No. 216)
Asymmetric unit:
Sr: 0.000 0.000 0.000 (multiplicity 4)
Sr: 0.250 0.250 0.250 (multiplicity 4)
Ca: 0.250 0.250 0.750 (multiplicity 4)
Co: 0.000 0.000 0.500 (multiplicity 4)

Stability summary - winner: *B*; margin: 257 meV/atom.

*A*
First-principles (PBE) data for a relaxed structure of Sr2CaCo, as listed in Alexandria.

Calculated values
magnetic moment = 2.5 Bohr magnetons per cell
ρ = 2.98 g cm⁻³

a b c (Å): 4.0662 4.0662 32.0675
angles (deg): 90.00 90.00 120.00
Space group R-3m (No. 166, hexagonal axes)
Asymmetric unit:
Sr: 0.0000 0.0000 0.2239 (multiplicity 6)
Ca: 0.0000 0.0000 0.0000 (multiplicity 3)
Co: 0.0000 0.0000 0.5000 (multiplicity 3)

*B*
First-principles (PBE) data for a relaxed structure of Sr2CaCo, as listed in Alexandria.

Calculated values
magnetic moment = 1.9 Bohr magnetons per cell
ρ = 3.29 g cm⁻³

a b c (Å): 5.081 5.081 10.711
angles (deg): 90.00 90.00 90.00
Space group I-4m2 (No. 119)
Asymmetric unit:
Sr: 0.000 0.000 0.000 (multiplicity 2)
Sr: 0.000 0.500 0.250 (multiplicity 2)
Ca: 0.000 0.500 0.750 (multiplicity 2)
Co: 0.000 0.000 0.500 (multiplicity 2)

*C*
First-principles (PBE) data for a relaxed structure of Sr2CaCo, as listed in Alexandria.

Calculated values
magnetic moment = 0.9 Bohr magnetons per cell
ρ = 2.90 g cm⁻³

a b c (Å): 10.626 10.626 5.562
angles (deg): 90.00 90.00 90.00
Space group I-42d (No. 122)
Asymmetric unit:
Sr: 0.106 0.250 0.125 (multiplicity 8)
Ca: 0.000 0.000 0.500 (multiplicity 4)
Co: 0.000 0.000 0.000 (multiplicity 4)

Stability summary - winner: *A*; margin: 45 meV/atom.

*A*
First-principles (PBE) data for a relaxed structure of Sr2CaCo, as listed in Alexandria.

Calculated values
magnetic moment = 2.1 Bohr magnetons per cell
ρ = 3.27 g cm⁻³

a b c (Å): 5.245 5.245 10.116
angles (deg): 90.00 90.00 90.00
Space group I4/mmm (No. 139)
Asymmetric unit:
Sr: 0.000 0.500 0.250 (multiplicity 4)
Ca: 0.000 0.000 0.000 (multiplicity 2)
Co: 0.000 0.000 0.500 (multiplicity 2)

*B*
First-principles (PBE) data for a relaxed structure of Sr2CaCo, as listed in Alexandria.

Calculated values
magnetic moment = 1.1 Bohr magnetons per cell
ρ = 3.14 g cm⁻³

a b c (Å): 3.655 4.805 16.527
angles (deg): 90.00 90.00 90.00
Space group Immm (No. 71)
Asymmetric unit:
Sr: 0.000 0.000 0.155 (multiplicity 4)
Ca: 0.000 0.500 0.000 (multiplicity 2)
Co: 0.000 0.500 0.500 (multiplicity 2)

Stability summary - winner: *B*; margin: 190 meV/atom.

*A*
First-principles (PBE) data for a relaxed structure of SrCaCo, as listed in Alexandria.

Calculated values
magnetic moment = 3.4 Bohr magnetons per cell
ρ = 3.20 g cm⁻³

a b c (Å): 7.290 7.290 7.290
angles (deg): 90.00 90.00 90.00
Space group F-43m (No. 216)
Asymmetric unit:
Sr: 0.000 0.000 0.000 (multiplicity 4)
Ca: 0.250 0.250 0.250 (multiplicity 4)
Co: 0.250 0.250 0.750 (multiplicity 4)

*B*
First-principles (PBE) data for a relaxed structure of SrCaCo, as listed in Alexandria.

Calculated values
magnetic moment = 0.9 Bohr magnetons per cell
ρ = 3.12 g cm⁻³

a b c (Å): 4.0100 4.0100 7.1333
angles (deg): 90.00 90.00 120.00
Space group P3m1 (No. 156)
Asymmetric unit:
Sr: 0.0000 0.0000 0.0000 (multiplicity 1)
Ca: 0.6667 0.3333 0.5085 (multiplicity 1)
Co: 0.3333 0.6667 0.7403 (multiplicity 1)

*C*
First-principles (PBE) data for a relaxed structure of SrCaCo, as listed in Alexandria.

Calculated values
magnetic moment = 3.3 Bohr magnetons per cell
ρ = 3.35 g cm⁻³

a b c (Å): 7.179 7.179 7.179
angles (deg): 90.00 90.00 90.00
Space group F-43m (No. 216)
Asymmetric unit:
Sr: 0.000 0.000 0.000 (multiplicity 4)
Ca: 0.000 0.000 0.500 (multiplicity 4)
Co: 0.250 0.250 0.750 (multiplicity 4)

Stability summary - winner: *B*; margin: 27 meV/atom.

*A*
First-principles (PBE) data for a relaxed structure of SrCaCo, as listed in Alexandria.

Calculated values
magnetic moment = 2.8 Bohr magnetons per cell
ρ = 3.15 g cm⁻³

a b c (Å): 15.931 4.040 6.221
angles (deg): 90.00 100.79 90.00
Space group C2/m (No. 12)
Asymmetric unit:
Sr: 0.087 0.000 0.292 (multiplicity 4)
Ca: 0.170 0.500 0.817 (multiplicity 4)
Co: 0.241 0.500 0.424 (multiplicity 4)

*B*
First-principles (PBE) data for a relaxed structure of SrCaCo, as listed in Alexandria.

Calculated values
magnetic moment = 1.6 Bohr magnetons per cell
ρ = 3.46 g cm⁻³

a b c (Å): 3.632 3.632 13.570
angles (deg): 90.00 90.00 90.00
Space group I4mm (No. 107)
Asymmetric unit:
Sr: 0.000 0.000 0.000 (multiplicity 2)
Ca: 0.000 0.000 0.750 (multiplicity 2)
Co: 0.000 0.000 0.365 (multiplicity 2)

Stability summary - winner: *A*; margin: 269 meV/atom.

*A*
First-principles (PBE) data for a relaxed structure of Ca2TaCo, as listed in Alexandria.

Calculated values
magnetic moment = 2.6 Bohr magnetons per cell
ρ = 4.33 g cm⁻³

a b c (Å): 10.453 10.453 4.498
angles (deg): 90.00 90.00 90.00
Space group I-42d (No. 122)
Asymmetric unit:
Ca: 0.092 0.250 0.125 (multiplicity 8)
Ta: 0.000 0.000 0.500 (multiplicity 4)
Co: 0.000 0.000 0.000 (multiplicity 4)

*B*
First-principles (PBE) data for a relaxed structure of Ca2TaCo, as listed in Alexandria.

Calculated values
magnetic moment = 0.0 Bohr magnetons per cell
ρ = 6.55 g cm⁻³

a b c (Å): 3.705 4.299 5.091
angles (deg): 90.00 90.00 90.00
Space group Pmmm (No. 47)
Asymmetric unit:
Ca: 0.000 0.000 0.000 (multiplicity 1)
Ca: 0.500 0.500 0.000 (multiplicity 1)
Ta: 0.000 0.500 0.500 (multiplicity 1)
Co: 0.500 0.000 0.500 (multiplicity 1)

*C*
First-principles (PBE) data for a relaxed structure of Ca2TaCo, as listed in Alexandria.

Calculated values
magnetic moment = 0.0 Bohr magnetons per cell
ρ = 6.33 g cm⁻³

a b c (Å): 5.649 9.845 3.018
angles (deg): 90.00 90.18 90.00
Space group C2/m (No. 12)
Asymmetric unit:
Ca: 0.250 0.250 0.000 (multiplicity 4)
Ta: 0.000 0.000 0.500 (multiplicity 2)
Co: 0.000 0.500 0.500 (multiplicity 2)

*D*
First-principles (PBE) data for a relaxed structure of Ca2TaCo, as listed in Alexandria.

Calculated values
magnetic moment = 0.0 Bohr magnetons per cell
ρ = 6.36 g cm⁻³

a b c (Å): 3.092 4.856 5.641
angles (deg): 90.00 99.22 90.00
Space group P2/m (No. 10)
Asymmetric unit:
Ca: 0.083 0.000 0.262 (multiplicity 2)
Ta: 0.500 0.500 0.000 (multiplicity 1)
Co: 0.500 0.500 0.500 (multiplicity 1)

Stability summary - winner: *A*; margin: 13 meV/atom.

*A*
First-principles (PBE) data for a relaxed structure of Ca2TaCo, as listed in Alexandria.

Calculated values
magnetic moment = 0.0 Bohr magnetons per cell
ρ = 5.59 g cm⁻³

a b c (Å): 3.381 5.347 10.520
angles (deg): 90.00 90.00 90.00
Space group Imm2 (No. 44)
Asymmetric unit:
Ca: 0.000 0.000 0.000 (multiplicity 2)
Ca: 0.000 0.500 0.202 (multiplicity 2)
Ta: 0.000 0.500 0.811 (multiplicity 2)
Co: 0.000 0.000 0.462 (multiplicity 2)

*B*
First-principles (PBE) data for a relaxed structure of Ca2TaCo, as listed in Alexandria.

Calculated values
magnetic moment = 12.2 Bohr magnetons per cell
ρ = 5.82 g cm⁻³

a b c (Å): 7.150 7.150 7.150
angles (deg): 90.00 90.00 90.00
Space group Fm-3m (No. 225)
Asymmetric unit:
Ca: 0.250 0.250 0.250 (multiplicity 8)
Ta: 0.000 0.000 0.000 (multiplicity 4)
Co: 0.000 0.000 0.500 (multiplicity 4)

Stability summary - winner: *A*; margin: 730 meV/atom.

*A*
First-principles (PBE) data for a relaxed structure of Ca2TaCo, as listed in Alexandria.

Calculated values
magnetic moment = 0.0 Bohr magnetons per cell
ρ = 5.37 g cm⁻³

a b c (Å): 3.318 3.319 8.981
angles (deg): 90.00 90.15 90.00
Space group Pm (No. 6)
Asymmetric unit:
Ca: 0.000 0.000 0.000 (multiplicity 1)
Ca: 0.499 0.500 0.621 (multiplicity 1)
Ta: 0.997 0.000 0.346 (multiplicity 1)
Co: 0.497 0.500 0.252 (multiplicity 1)

*B*
First-principles (PBE) data for a relaxed structure of Ca2TaCo, as listed in Alexandria.

Calculated values
magnetic moment = 0.0 Bohr magnetons per cell
ρ = 6.36 g cm⁻³

a b c (Å): 3.038 4.874 5.646
angles (deg): 90.00 90.00 90.00
Space group Pmmm (No. 47)
Asymmetric unit:
Ca: 0.000 0.000 0.240 (multiplicity 2)
Ta: 0.500 0.500 0.500 (multiplicity 1)
Co: 0.500 0.500 0.000 (multiplicity 1)

*C*
First-principles (PBE) data for a relaxed structure of Ca2TaCo, as listed in Alexandria.

Calculated values
magnetic moment = 0.0 Bohr magnetons per cell
ρ = 4.92 g cm⁻³

a b c (Å): 3.6672 3.6672 27.8205
angles (deg): 90.00 90.00 120.00
Space group R3m (No. 160, hexagonal axes)
Asymmetric unit:
Ca: 0.0000 0.0000 0.0000 (multiplicity 3)
Ca: 0.0000 0.0000 0.2056 (multiplicity 3)
Ta: 0.0000 0.0000 0.4412 (multiplicity 3)
Co: 0.0000 0.0000 0.7368 (multiplicity 3)

*D*
First-principles (PBE) data for a relaxed structure of Ca2TaCo, as listed in Alexandria.

Calculated values
magnetic moment = 0.0 Bohr magnetons per cell
ρ = 6.49 g cm⁻³

a b c (Å): 6.895 6.895 6.895
angles (deg): 90.00 90.00 90.00
Space group F-43m (No. 216)
Asymmetric unit:
Ca: 0.000 0.000 0.000 (multiplicity 4)
Ca: 0.250 0.250 0.250 (multiplicity 4)
Ta: 0.250 0.250 0.750 (multiplicity 4)
Co: 0.000 0.000 0.500 (multiplicity 4)

Stability summary - winner: *A*; margin: 156 meV/atom.